Record 1
Here is a relaxed NaLaHg3 crystal from Alexandria via LeMat-Bulk. Energies are from PBE.

## Properties
- Formation energy: 15 meV per atom
- Density of states at the Fermi level: 0.969 states/eV per atom
- Energy above the most stable polymorph in this dataset: 0.368 eV per atom
- Spin magnetization: 0.00 μB/cell

The structure in CIF format:
```
data_NaLaHg3
_cell_length_a 5.262
_cell_length_b 5.262
_cell_length_c 5.262
_cell_angle_alpha 90.00
_cell_angle_beta 90.00
_cell_angle_gamma 90.00
_space_group_name_H-M_alt 'P 1'
_space_group_IT_number 1
loop_
_space_group_symop_operation_xyz
'x,y,z'
loop_
_atom_site_label
_atom_site_type_symbol
_atom_site_fract_x
_atom_site_fract_y
_atom_site_fract_z
_atom_site_occupancy
Na1 Na 0.000 0.000 0.000 1
La1 La 0.500 0.500 0.500 1
Hg1 Hg 0.000 0.000 0.500 1
Hg2 Hg 0.000 0.500 0.000 1
Hg3 Hg 0.500 0.000 0.000 1
```

---

Record 2
Here is a relaxed UPaS4 crystal from Alexandria via LeMat-Bulk. Energies are from PBE.

## Properties
- Density of states at the Fermi level: 2.015 states/eV per atom
- Energy above the most stable polymorph in this dataset: 0.000 eV per atom
- Spin magnetization: 3.00 μB/cell
- Uncorrected formation energy: -1.40 eV per atom

The structure in CIF format:
```
data_UPaS4
_cell_length_a 6.303
_cell_length_b 6.303
_cell_length_c 4.150
_cell_angle_alpha 90.00
_cell_angle_beta 90.00
_cell_angle_gamma 90.34
_space_group_name_H-M_alt 'P 1'
_space_group_IT_number 1
loop_
_space_group_symop_operation_xyz
'x,y,z'
loop_
_atom_site_label
_atom_site_type_symbol
_atom_site_fract_x
_atom_site_fract_y
_atom_site_fract_z
_atom_site_occupancy
U1 U 0.000 0.000 0.000 1
Pa1 Pa 0.500 0.500 0.500 1
S1 S 0.196 0.196 0.500 1
S2 S 0.307 0.693 0.000 1
S3 S 0.693 0.307 0.000 1
S4 S 0.804 0.804 0.500 1
```

---

Record 3
Here is a relaxed Zr2SiNi crystal from Alexandria via LeMat-Bulk. Energies are from PBE.

## Properties
- Density of states at the Fermi level: 0.590 states/eV per atom
- Spin magnetization: 0.00 μB/cell
- Uncorrected formation energy: -0.53 eV per atom

The structure in CIF format:
```
data_Zr2SiNi
_cell_length_a 5.573
_cell_length_b 5.573
_cell_length_c 5.573
_cell_angle_alpha 144.55
_cell_angle_beta 135.78
_cell_angle_gamma 57.91
_space_group_name_H-M_alt 'P 1'
_space_group_IT_number 1
loop_
_space_group_symop_operation_xyz
'x,y,z'
loop_
_atom_site_label
_atom_site_type_symbol
_atom_site_fract_x
_atom_site_fract_y
_atom_site_fract_z
_atom_site_occupancy
Zr1 Zr 0.000 0.000 0.000 1
Zr2 Zr 0.732 0.232 0.500 1
Si1 Si 0.441 0.441 0.000 1
Ni1 Ni 0.264 0.764 0.500 1
```

---

Record 4
Here is a relaxed Mg2BeTl crystal from Alexandria via LeMat-Bulk. Energies are from PBE.

## Properties
- Formation energy: 288 meV per atom
- Density of states at the Fermi level: 0.237 states/eV per atom
- Energy above the most stable polymorph in this dataset: 0.072 eV per atom
- Spin magnetization: 0.00 μB/cell

The structure in CIF format:
```
data_Mg2BeTl
_cell_length_a 9.161
_cell_length_b 9.161
_cell_length_c 9.161
_cell_angle_alpha 20.63
_cell_angle_beta 20.63
_cell_angle_gamma 20.63
_space_group_name_H-M_alt 'P 1'
_space_group_IT_number 1
loop_
_space_group_symop_operation_xyz
'x,y,z'
loop_
_atom_site_label
_atom_site_type_symbol
_atom_site_fract_x
_atom_site_fract_y
_atom_site_fract_z
_atom_site_occupancy
Mg1 Mg 0.236 0.236 0.236 1
Mg2 Mg 0.764 0.764 0.764 1
Be1 Be 0.500 0.500 0.500 1
Tl1 Tl 0.000 0.000 0.000 1
```

---

Record 5
Here is a relaxed PrHo4Ag crystal from Alexandria via LeMat-Bulk. Energies are from PBE.

## Properties
- Formation energy: 59 meV per atom
- Density of states at the Fermi level: 1.531 states/eV per atom
- Energy above the most stable polymorph in this dataset: 0.134 eV per atom
- Spin magnetization: 0.00 μB/cell

The structure in CIF format:
```
data_PrHo4Ag
_cell_length_a 10.918
_cell_length_b 10.918
_cell_length_c 6.503
_cell_angle_alpha 90.00
_cell_angle_beta 90.00
_cell_angle_gamma 151.38
_space_group_name_H-M_alt 'P 1'
_space_group_IT_number 1
loop_
_space_group_symop_operation_xyz
'x,y,z'
loop_
_atom_site_label
_atom_site_type_symbol
_atom_site_fract_x
_atom_site_fract_y
_atom_site_fract_z
_atom_site_occupancy
Pr1 Pr 0.136 0.864 0.500 1
Pr2 Pr 0.864 0.136 0.000 1
Ho1 Ho 0.067 0.933 0.011 1
Ho2 Ho 0.260 0.740 0.134 1
Ho3 Ho 0.326 0.674 0.644 1
Ho4 Ho 0.466 0.534 0.854 1
Ho5 Ho 0.534 0.466 0.354 1
Ho6 Ho 0.674 0.326 0.144 1
Ho7 Ho 0.740 0.260 0.634 1
Ho8 Ho 0.933 0.067 0.511 1
Ag1 Ag 0.399 0.601 0.261 1
Ag2 Ag 0.601 0.399 0.761 1
```

---

Record 6
Here is a relaxed Ga2Pd2I crystal from Alexandria via LeMat-Bulk. Energies are from PBE.

## Properties
- Density of states at the Fermi level: 0.592 states/eV per atom
- Energy above the most stable polymorph in this dataset: 0.025 eV per atom
- Spin magnetization: 0.00 μB/cell
- Uncorrected formation energy: -0.18 eV per atom

The structure in CIF format:
```
data_Ga2Pd2I
_cell_length_a 7.481
_cell_length_b 7.481
_cell_length_c 3.440
_cell_angle_alpha 90.00
_cell_angle_beta 90.00
_cell_angle_gamma 90.00
_space_group_name_H-M_alt 'P 1'
_space_group_IT_number 1
loop_
_space_group_symop_operation_xyz
'x,y,z'
loop_
_atom_site_label
_atom_site_type_symbol
_atom_site_fract_x
_atom_site_fract_y
_atom_site_fract_z
_atom_site_occupancy
Ga1 Ga 0.145 0.355 0.000 1
Ga2 Ga 0.355 0.855 0.000 1
Ga3 Ga 0.645 0.145 0.000 1
Ga4 Ga 0.855 0.645 0.000 1
Pd1 Pd 0.139 0.639 0.500 1
Pd2 Pd 0.361 0.139 0.500 1
Pd3 Pd 0.639 0.861 0.500 1
Pd4 Pd 0.861 0.361 0.500 1
I1 I 0.000 0.000 0.500 1
I2 I 0.500 0.500 0.500 1
```

---

Record 7
Here is a relaxed Sr2CaAu2 crystal from Alexandria via LeMat-Bulk. Energies are from PBE.

## Properties
- Formation energy: -454 meV per atom
- Density of states at the Fermi level: 0.503 states/eV per atom
- Energy above the most stable polymorph in this dataset: 0.230 eV per atom
- Spin magnetization: 0.00 μB/cell

The structure in CIF format:
```
data_Sr2CaAu2
_cell_length_a 7.532
_cell_length_b 7.532
_cell_length_c 7.532
_cell_angle_alpha 141.12
_cell_angle_beta 141.12
_cell_angle_gamma 56.16
_space_group_name_H-M_alt 'P 1'
_space_group_IT_number 1
loop_
_space_group_symop_operation_xyz
'x,y,z'
loop_
_atom_site_label
_atom_site_type_symbol
_atom_site_fract_x
_atom_site_fract_y
_atom_site_fract_z
_atom_site_occupancy
Sr1 Sr 0.250 0.750 0.500 1
Sr2 Sr 0.750 0.250 0.500 1
Ca1 Ca 0.000 0.000 0.000 1
Au1 Au 0.396 0.396 0.000 1
Au2 Au 0.604 0.604 0.000 1
```

---

Record 8
Here is a relaxed UCdIn2 crystal from Alexandria via LeMat-Bulk. Energies are from PBE.

## Properties
- Formation energy: 280 meV per atom
- Density of states at the Fermi level: 2.430 states/eV per atom
- Energy above the most stable polymorph in this dataset: 0.128 eV per atom
- Spin magnetization: 2.79 μB/cell

The structure in CIF format:
```
data_UCdIn2
_cell_length_a 5.213
_cell_length_b 5.213
_cell_length_c 5.213
_cell_angle_alpha 60.00
_cell_angle_beta 60.00
_cell_angle_gamma 60.00
_space_group_name_H-M_alt 'P 1'
_space_group_IT_number 1
loop_
_space_group_symop_operation_xyz
'x,y,z'
loop_
_atom_site_label
_atom_site_type_symbol
_atom_site_fract_x
_atom_site_fract_y
_atom_site_fract_z
_atom_site_occupancy
U1 U 0.000 0.000 0.000 1
Cd1 Cd 0.250 0.250 0.250 1
In1 In 0.500 0.500 0.500 1
In2 In 0.750 0.750 0.750 1
```